PaSb2Pd after structural relaxation, computed with PBE.

POSCAR file:
```
PaSb2Pd
1.0
-1.6361 0.9711 3.0076
2.5921 -1.5254 1.9026
3.6673 6.2164 -0.0122
Sb Pa Pd
2 1 1
Direct
0.0000 0.0000 0.7806 Sb
0.0000 0.0000 0.2194 Sb
0.5000 0.5000 0.5000 Pa
0.5000 0.5000 0.0000 Pd
```

Computed properties:
- electronic total energy (eV/atom) = -5.9161
- SG = P4/mmm
- crystal system = tetragonal